# CsCrP2O8 GGA+U optimized geometry
# - V (A^3/atom) = 16.1
# - total moment (Bohr magnetons per cell) = 1.0
# - final energy (eV for the cell shown) = -81.99
data_CsCrP2O8
_cell_length_a 4.9454
_cell_length_b 4.9454
_cell_length_c 9.0981
_cell_angle_alpha 90.00
_cell_angle_beta 90.00
_cell_angle_gamma 120.00
_space_group_name_H-M_alt 'P -3'
_space_group_IT_number 147
loop_
_space_group_symop_operation_xyz
'x,y,z'
'-x,-y,-z'
'-y,x-y,z'
'y,-x+y,-z'
'-x+y,-x,z'
'x-y,x,-z'
loop_
_atom_site_label
_atom_site_fract_x
_atom_site_fract_y
_atom_site_fract_z
Cs1 0.0000 0.0000 0.0000
Cr1 0.0000 0.0000 0.5000
P1 0.3333 0.6667 0.6802
O1 0.0681 0.3469 0.6227
O2 0.3333 0.6667 0.8473